Entry 1:
CdPt2 | GGA-PBEsol | optimized geometry

Unit cell a=2.813 b=4.010 c=8.561 alpha=90.00 beta=90.00 gamma=90.00
Space group Immm (No. 71)
Symmetry-distinct sites (fractional):
Cd (0.000, 0.000, 0.000) [2 per cell]
Pt (0.000, 0.000, 0.332) [4 per cell]

Entry 2:
CdPt3 | GGA-PBEsol | optimized geometry

Unit cell a=2.779 b=4.777 c=9.609 alpha=90.00 beta=90.00 gamma=90.00
Space group Immm (No. 71)
Symmetry-distinct sites (fractional):
Cd (0.000, 0.000, 0.000) [2 per cell]
Pt (0.000, 0.000, 0.500) [2 per cell]
Pt (0.000, 0.500, 0.244) [4 per cell]

Calculated total energy values, unit eV/atom, following the record order: -5.184; -5.627.
Energy relative to the elements values, unit eV/f.u., following the record order: -0.43; -0.42.